Entry 1:
First-principles (PBE-GGA) data for a relaxed structure of MnTl2Te, as listed in Alexandria via LeMat-Bulk.

CIF file:
```
data_MnTl2Te
_cell_length_a 4.328
_cell_length_b 4.328
_cell_length_c 24.254
_cell_angle_alpha 90.00
_cell_angle_beta 90.00
_cell_angle_gamma 90.00
_symmetry_space_group_name_H-M 'I -4 2 d'
_symmetry_Int_Tables_number 122
_symmetry_space_group_name_Hall 'I -4 2bw'
loop_
_atom_site_label
_atom_site_fract_x
_atom_site_fract_y
_atom_site_fract_z
Mn1 0.000 0.000 0.000
Tl1 0.250 0.250 0.125
Te1 0.000 0.000 0.500
```

Computed properties:
- E: -4.0349 eV per atom
- Offset from the most stable computed form: 0.148 eV/atom
- Uncorrected formation energy: 0.23 eV/atom

Entry 2:
First-principles (PBE-GGA) data for a relaxed structure of DyTh2HgC, as listed in Alexandria via LeMat-Bulk.

CIF file:
```
data_DyTh2HgC
_cell_length_a 5.063
_cell_length_b 5.063
_cell_length_c 4.941
_cell_angle_alpha 90.00
_cell_angle_beta 90.00
_cell_angle_gamma 90.00
_symmetry_space_group_name_H-M 'P 4/m m m'
_symmetry_Int_Tables_number 123
_symmetry_space_group_name_Hall '-P 4 2'
loop_
_atom_site_label
_atom_site_fract_x
_atom_site_fract_y
_atom_site_fract_z
Dy1 0.000 0.000 0.000
Th1 0.000 0.500 0.500
Hg1 0.500 0.500 0.000
C1 0.000 0.000 0.500
```

Computed properties:
- E: -6.0817 eV per atom

Entry 3:
First-principles (PBE-GGA) data for a relaxed structure of Np3Co2Si7, as listed in Alexandria via LeMat-Bulk.

CIF file:
```
data_Np3Co2Si7
_cell_length_a 3.977
_cell_length_b 4.020
_cell_length_c 12.347
_cell_angle_alpha 90.00
_cell_angle_beta 99.25
_cell_angle_gamma 90.00
_symmetry_space_group_name_H-M 'P 1 2/m 1'
_symmetry_Int_Tables_number 10
_symmetry_space_group_name_Hall '-P 2y'
loop_
_atom_site_label
_atom_site_fract_x
_atom_site_fract_y
_atom_site_fract_z
Np1 0.000 0.000 0.000
Np2 0.314 0.500 0.629
Co1 0.128 0.000 0.257
Si1 0.088 0.500 0.175
Si2 0.222 0.000 0.443
Si3 0.414 0.000 0.826
Si4 0.500 0.500 0.000
```

Computed properties:
- E: -7.9919 eV per atom
- Uncorrected formation energy: -0.41 eV/atom

Entry 4:
First-principles (PBE-GGA) data for a relaxed structure of Cu2TcNi8, as listed in Alexandria via LeMat-Bulk.

CIF file:
```
data_Cu2TcNi8
_cell_length_a 16.880
_cell_length_b 2.481
_cell_length_c 6.074
_cell_angle_alpha 90.00
_cell_angle_beta 90.82
_cell_angle_gamma 90.00
_symmetry_space_group_name_H-M 'C 1 2/m 1'
_symmetry_Int_Tables_number 12
_symmetry_space_group_name_Hall '-C 2y'
loop_
_atom_site_label
_atom_site_fract_x
_atom_site_fract_y
_atom_site_fract_z
Cu1 0.189 0.000 0.432
Tc1 0.000 0.500 0.000
Ni1 0.043 0.000 0.346
Ni2 0.094 0.500 0.691
Ni3 0.138 0.500 0.098
Ni4 0.217 0.000 0.837
```

Computed properties:
- E: -5.7880 eV per atom

Entry 5:
First-principles (PBE-GGA) data for a relaxed structure of Mn2TcCl, as listed in Alexandria via LeMat-Bulk.

CIF file:
```
data_Mn2TcCl
_cell_length_a 3.079
_cell_length_b 4.830
_cell_length_c 8.303
_cell_angle_alpha 90.00
_cell_angle_beta 90.00
_cell_angle_gamma 90.00
_symmetry_space_group_name_H-M 'C m m 2'
_symmetry_Int_Tables_number 35
_symmetry_space_group_name_Hall 'C 2 -2'
loop_
_atom_site_label
_atom_site_fract_x
_atom_site_fract_y
_atom_site_fract_z
Mn1 0.000 0.000 0.000
Mn2 0.000 0.500 0.254
Tc1 0.000 0.500 0.783
Cl1 0.000 0.000 0.479
```

Computed properties:
- E: -7.2456 eV per atom
- Offset from the most stable computed form: 0.308 eV/atom
- Uncorrected formation energy: 0.39 eV/atom

Entry 6:
First-principles (PBE-GGA) data for a relaxed structure of LiBi2MoS, as listed in Alexandria via LeMat-Bulk.

CIF file:
```
data_LiBi2MoS
_cell_length_a 5.599
_cell_length_b 5.599
_cell_length_c 4.418
_cell_angle_alpha 90.00
_cell_angle_beta 90.00
_cell_angle_gamma 90.00
_symmetry_space_group_name_H-M 'P 4/m m m'
_symmetry_Int_Tables_number 123
_symmetry_space_group_name_Hall '-P 4 2'
loop_
_atom_site_label
_atom_site_fract_x
_atom_site_fract_y
_atom_site_fract_z
Li1 0.000 0.000 0.000
Bi1 0.000 0.500 0.500
Mo1 0.500 0.500 0.000
S1 0.500 0.500 0.500
```

Computed properties:
- E: -4.4648 eV per atom
- Uncorrected formation energy: 0.46 eV/atom

Question: Among the records above, which one has the highest E?
Answer: MnTl2Te

Please write out number 6 again, unchanged.
First-principles (PBE-GGA) data for a relaxed structure of LiBi2MoS, as listed in Alexandria via LeMat-Bulk.

CIF file:
```
data_LiBi2MoS
_cell_length_a 5.599
_cell_length_b 5.599
_cell_length_c 4.418
_cell_angle_alpha 90.00
_cell_angle_beta 90.00
_cell_angle_gamma 90.00
_symmetry_space_group_name_H-M 'P 4/m m m'
_symmetry_Int_Tables_number 123
_symmetry_space_group_name_Hall '-P 4 2'
loop_
_atom_site_label
_atom_site_fract_x
_atom_site_fract_y
_atom_site_fract_z
Li1 0.000 0.000 0.000
Bi1 0.000 0.500 0.500
Mo1 0.500 0.500 0.000
S1 0.500 0.500 0.500
```

Computed properties:
- E: -4.4648 eV per atom
- Uncorrected formation energy: 0.46 eV/atom

Question: Number 4 is which compound?
Answer: Cu2TcNi8